The following is a DFT calculation (PBE-GGA) of a relaxed structure of PmGe2Ir2Pt.

a b c (Å): 4.679 4.679 5.544
angles (deg): 90.00 90.00 90.00
Space group P4/mmm (No. 123)
Unique sites:
Pm  0.000  0.000  0.000
Ge  0.000  0.500  0.500
Ir  0.500  0.500  0.234
Pt  0.000  0.000  0.500

=====

The following is a DFT calculation (PBE-GGA) of a relaxed structure of PmGe2IrPt2.

a b c (Å): 4.032 4.032 15.744
angles (deg): 90.00 90.00 90.00
Space group I4/mmm (No. 139)
Unique sites:
Pm  0.000  0.000  0.000
Ge  0.000  0.000  0.347
Ir  0.000  0.000  0.500
Pt  0.000  0.500  0.250

=====

The following is a DFT calculation (PBE-GGA) of a relaxed structure of Pm2Ge3IrPt4.

a b c (Å): 4.239 4.239 10.700
angles (deg): 90.00 90.00 90.00
Space group P-4m2 (No. 115)
Unique sites:
Pm  0.000  0.500  0.244
Ge  0.000  0.000  0.000
Ge  0.000  0.500  0.631
Ir  0.500  0.500  0.000
Pt  0.000  0.000  0.500
Pt  0.000  0.500  0.856
Pt  0.500  0.500  0.500

=====

The following is a DFT calculation (PBE-GGA) of a relaxed structure of PmGe2IrPt.

a b c (Å): 4.153 4.153 10.723
angles (deg): 90.00 90.00 90.00
Space group I-4m2 (No. 119)
Unique sites:
Pm  0.000  0.000  0.000
Ge  0.000  0.000  0.383
Ir  0.000  0.500  0.250
Pt  0.000  0.500  0.750

=====

The following is a DFT calculation (PBE-GGA) of a relaxed structure of Pm2Ge3Ir4Pt.

a b c (Å): 4.221 4.221 10.524
angles (deg): 90.00 90.00 90.00
Space group P-4m2 (No. 115)
Unique sites:
Pm  0.000  0.500  0.247
Ge  0.000  0.500  0.871
Ge  0.500  0.500  0.500
Ir  0.000  0.000  0.000
Ir  0.000  0.500  0.641
Ir  0.500  0.500  0.000
Pt  0.000  0.000  0.500

=====

The following is a DFT calculation (PBE-GGA) of a relaxed structure of Pm2Ge4Ir3Pt.

a b c (Å): 4.259 4.259 10.295
angles (deg): 90.00 90.00 90.00
Space group P-4m2 (No. 115)
Unique sites:
Pm  0.000  0.500  0.241
Ge  0.000  0.000  0.000
Ge  0.000  0.500  0.637
Ge  0.500  0.500  0.000
Ir  0.000  0.500  0.873
Ir  0.500  0.500  0.500
Pt  0.000  0.000  0.500

=====

The following is a DFT calculation (PBE-GGA) of a relaxed structure of PmPu2Ge2Ir.

a b c (Å): 4.171 4.171 20.156
angles (deg): 90.00 90.00 90.00
Space group I4/mmm (No. 139)
Unique sites:
Pm  0.000  0.000  0.000
Pu  0.000  0.500  0.250
Ge  0.000  0.000  0.149
Ir  0.000  0.000  0.500

=====

The following is a DFT calculation (PBE-GGA) of a relaxed structure of PmPuGeIr.

a b c (Å): 7.104 7.104 7.104
angles (deg): 90.00 90.00 90.00
Space group F-43m (No. 216)
Unique sites:
Pm  0.000  0.000  0.000
Pu  0.000  0.000  0.500
Ge  0.250  0.250  0.750
Ir  0.250  0.250  0.250

=====

The following is a DFT calculation (PBE-GGA) of a relaxed structure of Pm2PuGe4Ir3.

a b c (Å): 4.260 4.260 11.243
angles (deg): 90.00 90.00 90.00
Space group P-4m2 (No. 115)
Unique sites:
Pm  0.000  0.500  0.230
Pu  0.000  0.000  0.500
Ge  0.000  0.000  0.000
Ge  0.000  0.500  0.670
Ge  0.500  0.500  0.000
Ir  0.000  0.500  0.885
Ir  0.500  0.500  0.500

=====

The following is a DFT calculation (PBE-GGA) of a relaxed structure of Pm2PuGe3Ir4.

a b c (Å): 4.224 4.224 11.074
angles (deg): 90.00 90.00 90.00
Space group P-4m2 (No. 115)
Unique sites:
Pm  0.000  0.500  0.229
Pu  0.000  0.000  0.500
Ge  0.000  0.500  0.877
Ge  0.500  0.500  0.500
Ir  0.000  0.000  0.000
Ir  0.000  0.500  0.654
Ir  0.500  0.500  0.000

=====

The following is a DFT calculation (PBE-GGA) of a relaxed structure of Pm2Ge4IrRh3.

a b c (Å): 4.264 4.264 10.097
angles (deg): 90.00 90.00 90.00
Space group P-4m2 (No. 115)
Unique sites:
Pm  0.000  0.500  0.244
Ge  0.000  0.000  0.000
Ge  0.000  0.500  0.631
Ge  0.500  0.500  0.000
Ir  0.000  0.000  0.500
Rh  0.000  0.500  0.873
Rh  0.500  0.500  0.500

=====

The following is a DFT calculation (PBE-GGA) of a relaxed structure of Pm2Ge4Ir3Rh.

a b c (Å): 4.278 4.278 10.119
angles (deg): 90.00 90.00 90.00
Space group P-4m2 (No. 115)
Unique sites:
Pm  0.000  0.500  0.245
Ge  0.000  0.000  0.000
Ge  0.000  0.500  0.631
Ge  0.500  0.500  0.000
Ir  0.000  0.500  0.872
Ir  0.500  0.500  0.500
Rh  0.000  0.000  0.500

=====

Number 1: energy relative to the elements -100 meV per atom. Number 2: energy relative to the elements -549 meV per atom. Number 3: energy relative to the elements -763 meV per atom. Number 4: energy relative to the elements -767 meV per atom. Number 5: energy relative to the elements -695 meV per atom. Number 6: energy relative to the elements -798 meV per atom. Number 7: energy relative to the elements 480 meV per atom. Number 8: energy relative to the elements -423 meV per atom. Number 9: energy relative to the elements -629 meV per atom. Number 10: energy relative to the elements -722 meV per atom. Number 11: energy relative to the elements -851 meV per atom. Number 12: energy relative to the elements -811 meV per atom.